# 1
{
  "formula": "MgSb2W",
  "functional": "PBE-GGA",
  "state": "relaxed",
  "lattice_angstrom": [[4.799, 0.000, 0.000], [0.000, 4.799, 0.000], [0.000, 0.000, 3.547]],
  "species": ["Mg", "Sb", "Sb", "W"],
  "fractional_positions": [[0.000, 0.000, 0.000], [0.000, 0.500, 0.500], [0.500, 0.000, 0.500], [0.500, 0.500, 0.000]],
  "formation_energy_uncorrected_ev_per_atom": 0.493,
  "polymorph_energy_kj_per_mol_atoms": 25.44,
  "mass_density_g_cm3": 9.18,
  "crystal_system": "tetragonal"
}


# 2
{
  "formula": "Zr2InTc",
  "functional": "PBE-GGA",
  "state": "relaxed",
  "lattice_angstrom": [[1.703, -2.548, 0.000], [1.703, 2.548, 0.000], [0.000, 0.000, 9.482]],
  "species": ["Zr", "Zr", "In", "Tc"],
  "fractional_positions": [[0.000, 0.000, 0.000], [0.500, 0.500, 0.281], [0.000, 0.000, 0.553], [0.500, 0.500, 0.789]],
  "polymorph_energy_kj_per_mol_atoms": 40.93,
  "mass_density_g_cm3": 7.98,
  "formation_enthalpy_0k_ev_per_atom": 0.05,
  "crystal_system": "orthorhombic"
}


# 3
{
  "formula": "Sr2CrOs",
  "functional": "PBE-GGA",
  "state": "relaxed",
  "lattice_angstrom": [[-5.683, 5.683, 2.325], [5.683, -5.683, 2.325], [5.683, 5.683, -2.325]],
  "species": ["Sr", "Sr", "Sr", "Sr", "Cr", "Cr", "Os", "Os"],
  "fractional_positions": [[0.375, 0.195, 0.320], [0.805, 0.125, 0.180], [0.875, 0.055, 0.680], [0.945, 0.625, 0.820], [0.250, 0.750, 0.500], [0.500, 0.500, 0.000], [0.000, 0.000, 0.000], [0.750, 0.250, 0.500]],
  "polymorph_energy_kj_per_mol_atoms": 43.63,
  "mass_density_g_cm3": 4.62,
  "formation_enthalpy_0k_ev_per_atom": 0.73,
  "crystal_system": "tetragonal"
}


# 4
{
  "formula": "ScAl2Tc",
  "functional": "PBE-GGA",
  "state": "relaxed",
  "lattice_angstrom": [[4.665, -1.714, 0.000], [4.665, 1.714, 0.000], [-1.784, 0.000, 4.137]],
  "species": ["Sc", "Al", "Al", "Tc"],
  "fractional_positions": [[0.000, 0.000, 0.000], [0.234, 0.234, 0.718], [0.766, 0.766, 0.282], [0.500, 0.500, 0.500]],
  "polymorph_energy_kj_per_mol_atoms": 0.00,
  "mass_density_g_cm3": 4.94,
  "formation_enthalpy_0k_ev_per_atom": -0.41,
  "crystal_system": "monoclinic"
}


# 5
{
  "formula": "Nd2SmF",
  "functional": "PBE-GGA",
  "state": "relaxed",
  "lattice_angstrom": [[1.900, 1.097, 8.778], [-1.900, 1.097, 8.778], [0.000, -2.194, 8.778]],
  "species": ["Nd", "Nd", "Sm", "F"],
  "fractional_positions": [[0.224, 0.224, 0.224], [0.776, 0.776, 0.776], [0.000, 0.000, 0.000], [0.500, 0.500, 0.500]],
  "formation_energy_uncorrected_ev_per_atom": -1.143,
  "mass_density_g_cm3": 6.93,
  "crystal_system": "trigonal"
}


# 6
{
  "formula": "Nd12Sn3P5",
  "functional": "PBE-GGA",
  "state": "relaxed",
  "lattice_angstrom": [[-8.740, 8.740, 8.740], [8.740, -8.740, 8.740], [8.740, 8.740, -8.740]],
  "species": ["Nd", "Nd", "Nd", "Nd", "Nd", "Nd", "Nd", "Nd", "Nd", "Nd", "Nd", "Nd", "Nd", "Nd", "Nd", "Nd", "Nd", "Nd", "Nd", "Nd", "Nd", "Nd", "Nd", "Nd", "Nd", "Nd", "Nd", "Nd", "Nd", "Nd", "Nd", "Nd", "Nd", "Nd", "Nd", "Nd", "Nd", "Nd", "Nd", "Nd", "Nd", "Nd", "Nd", "Nd", "Nd", "Nd", "Nd", "Nd", "Sn", "Sn", "Sn", "Sn", "Sn", "Sn", "Sn", "Sn", "Sn", "Sn", "Sn", "Sn", "P", "P", "P", "P", "P", "P", "P", "P", "P", "P", "P", "P", "P", "P", "P", "P", "P", "P", "P", "P"],
  "fractional_positions": [[0.038, 0.212, 0.125], [0.038, 0.326, 0.913], [0.087, 0.625, 0.412], [0.087, 0.962, 0.674], [0.088, 0.712, 0.674], [0.088, 0.875, 0.413], [0.125, 0.038, 0.212], [0.125, 0.587, 0.912], [0.174, 0.212, 0.588], [0.174, 0.462, 0.587], [0.212, 0.125, 0.038], [0.212, 0.588, 0.174], [0.288, 0.326, 0.912], [0.288, 0.462, 0.375], [0.326, 0.912, 0.288], [0.326, 0.913, 0.038], [0.375, 0.288, 0.462], [0.375, 0.588, 0.913], [0.412, 0.087, 0.625], [0.412, 0.826, 0.788], [0.413, 0.088, 0.875], [0.413, 0.826, 0.538], [0.462, 0.375, 0.288], [0.462, 0.587, 0.174], [0.538, 0.413, 0.826], [0.538, 0.625, 0.712], [0.587, 0.174, 0.462], [0.587, 0.912, 0.125], [0.588, 0.174, 0.212], [0.588, 0.913, 0.375], [0.625, 0.412, 0.087], [0.625, 0.712, 0.538], [0.674, 0.087, 0.962], [0.674, 0.088, 0.712], [0.712, 0.538, 0.625], [0.712, 0.674, 0.088], [0.788, 0.412, 0.826], [0.788, 0.875, 0.962], [0.826, 0.538, 0.413], [0.826, 0.788, 0.412], [0.875, 0.413, 0.088], [0.875, 0.962, 0.788], [0.912, 0.125, 0.587], [0.912, 0.288, 0.326], [0.913, 0.038, 0.326], [0.913, 0.375, 0.588], [0.962, 0.674, 0.087], [0.962, 0.788, 0.875], [0.125, 0.250, 0.375], [0.125, 0.375, 0.750], [0.250, 0.375, 0.125], [0.250, 0.875, 0.625], [0.375, 0.125, 0.250], [0.375, 0.750, 0.125], [0.625, 0.250, 0.875], [0.625, 0.875, 0.750], [0.750, 0.125, 0.375], [0.750, 0.625, 0.875], [0.875, 0.625, 0.250], [0.875, 0.750, 0.625], [0.000, 0.000, 0.000], [0.000, 0.000, 0.500], [0.000, 0.500, 0.000], [0.000, 0.500, 0.500], [0.125, 0.750, 0.875], [0.125, 0.875, 0.250], [0.250, 0.125, 0.875], [0.250, 0.625, 0.375], [0.375, 0.250, 0.625], [0.375, 0.625, 0.750], [0.500, 0.000, 0.000], [0.500, 0.000, 0.500], [0.500, 0.500, 0.000], [0.500, 0.500, 0.500], [0.625, 0.375, 0.250], [0.625, 0.750, 0.375], [0.750, 0.375, 0.625], [0.750, 0.875, 0.125], [0.875, 0.125, 0.750], [0.875, 0.250, 0.125]],
  "mass_density_g_cm3": 5.58,
  "formation_enthalpy_0k_ev_per_atom": -0.77,
  "crystal_system": "cubic"
}


Copy entry 3 word for word.
{
  "formula": "Sr2CrOs",
  "functional": "PBE-GGA",
  "state": "relaxed",
  "lattice_angstrom": [[-5.683, 5.683, 2.325], [5.683, -5.683, 2.325], [5.683, 5.683, -2.325]],
  "species": ["Sr", "Sr", "Sr", "Sr", "Cr", "Cr", "Os", "Os"],
  "fractional_positions": [[0.375, 0.195, 0.320], [0.805, 0.125, 0.180], [0.875, 0.055, 0.680], [0.945, 0.625, 0.820], [0.250, 0.750, 0.500], [0.500, 0.500, 0.000], [0.000, 0.000, 0.000], [0.750, 0.250, 0.500]],
  "polymorph_energy_kj_per_mol_atoms": 43.63,
  "mass_density_g_cm3": 4.62,
  "formation_enthalpy_0k_ev_per_atom": 0.73,
  "crystal_system": "tetragonal"
}